# 1
First-principles (PBE) data for a relaxed structure of Na3TlCl4, as listed in Alexandria via LeMat-Bulk.

Computed properties:
E_tot in eV/atom: -3.284
Polymorph energy (0 for the lowest one) in eV per formula unit: 0.000

Cell: 4.1281 6.0416 8.4793 Å, 90.00 90.00 90.00°
With the nearest neighbours (Å) after each atom.
Fractional coordinates of all 8 atoms:
Na 0.0000 0.0000 0.0000  6 Cl 2.78-3.02
Na 0.5000 0.5000 0.2378  6 Cl 2.89-3.03
Na 0.5000 0.5000 0.7622  6 Cl 2.89-3.03
Tl 0.0000 0.0000 0.5000  6 Cl 3.02-3.15
Cl 0.0000 0.5000 0.0000  6 Na 2.89-3.02
Cl 0.0000 0.5000 0.5000  2 Tl 3.02, 4 Na 3.03
Cl 0.5000 0.0000 0.2191  4 Na 2.78-3.02
Cl 0.5000 0.0000 0.7809  4 Na 2.78-3.02

# 2
First-principles (PBE) data for a relaxed structure of Na4Tl2Cl9, as listed in Alexandria via LeMat-Bulk.

Computed properties:
E_tot in eV/atom: -3.038

Cell: 7.0617 7.0617 19.1758 Å, 90.00 90.00 120.00°
With the nearest neighbours (Å) after each atom.
Fractional coordinates of all 30 atoms:
Na 0.3333 0.6667 0.0130  6 Cl 2.78-2.88
Na 0.3333 0.6667 0.3213  6 Cl 2.78-2.90
Na 0.3333 0.6667 0.5236  6 Cl 2.82-3.02
Na 0.3333 0.6667 0.8154  6 Cl 2.84-2.86
Na 0.6667 0.3333 0.1846  6 Cl 2.84-2.86
Na 0.6667 0.3333 0.4764  6 Cl 2.82-3.02
Na 0.6667 0.3333 0.6787  6 Cl 2.78-2.90
Na 0.6667 0.3333 0.9870  6 Cl 2.78-2.88
Tl 0.0000 0.0000 0.1388  3 Cl 2.73
Tl 0.0000 0.0000 0.3477  6 Cl 2.63-2.68
Tl 0.0000 0.0000 0.6523  6 Cl 2.63-2.68
Tl 0.0000 0.0000 0.8612  3 Cl 2.73
Cl 0.0078 0.3005 0.7390  1 Tl 2.68, 2 Na 2.78-2.86
Cl 0.0229 0.6520 0.9129  1 Tl 2.73, 3 Na 2.78-2.88
Cl 0.0344 0.3365 0.4177  1 Tl 2.63, 2 Na 2.82-2.90
Cl 0.2928 0.9922 0.7390  1 Tl 2.68, 2 Na 2.78-2.86
Cl 0.3005 0.2928 0.2610  1 Tl 2.68, 2 Na 2.78-2.86
Cl 0.3021 0.9656 0.4177  1 Tl 2.63, 2 Na 2.82-2.90
Cl 0.3365 0.3021 0.5823  1 Tl 2.63, 2 Na 2.82-2.90
Cl 0.3480 0.3709 0.9129  1 Tl 2.73, 3 Na 2.78-2.88
Cl 0.3709 0.0229 0.0871  1 Tl 2.73, 3 Na 2.78-2.88
Cl 0.6291 0.9771 0.9129  1 Tl 2.73, 3 Na 2.78-2.88
Cl 0.6520 0.6291 0.0871  1 Tl 2.73, 3 Na 2.78-2.88
Cl 0.6635 0.6979 0.4177  1 Tl 2.63, 2 Na 2.82-2.90
Cl 0.6979 0.0344 0.5823  1 Tl 2.63, 2 Na 2.82-2.90
Cl 0.6995 0.7072 0.7390  1 Tl 2.68, 2 Na 2.78-2.86
Cl 0.7072 0.0078 0.2610  1 Tl 2.68, 2 Na 2.78-2.86
Cl 0.9656 0.6635 0.5823  1 Tl 2.63, 2 Na 2.82-2.90
Cl 0.9771 0.3480 0.0871  1 Tl 2.73, 3 Na 2.78-2.88
Cl 0.9922 0.6995 0.2610  1 Tl 2.68, 2 Na 2.78-2.86

# 3
First-principles (PBE) data for a relaxed structure of NaTlCl2, as listed in Alexandria via LeMat-Bulk.

Computed properties:
E_tot in eV/atom: -3.221
Polymorph energy (0 for the lowest one) in eV per formula unit: 0.055

Cell: 7.8225 7.8225 7.8225 Å, 31.00 31.00 31.00°
With the nearest neighbours (Å) after each atom.
Fractional coordinates of all 4 atoms:
Na 0.0000 0.0000 0.0000  6 Cl 2.88-2.89
Tl 0.8318 0.8318 0.8318  6 Cl 3.21-3.24
Cl 0.4034 0.4034 0.4034  3 Na 2.88, 3 Tl 3.21
Cl 0.5952 0.5952 0.5952  3 Na 2.89, 3 Tl 3.24

# 4
First-principles (PBE) data for a relaxed structure of NaTl3Cl6, as listed in Alexandria via LeMat-Bulk.

Computed properties:
E_tot in eV/atom: -3.005

Cell: 7.3058 7.6910 12.7938 Å, 90.00 124.35 90.00°
With the nearest neighbours (Å) after each atom.
Fractional coordinates of all 20 atoms:
Na 0.0000 0.0000 0.0000  6 Cl 2.81-2.86
Na 0.0000 0.5000 0.5000  6 Cl 2.81-2.86
Tl 0.2302 0.0714 0.7497  7 Cl 3.22-3.59
Tl 0.2302 0.4286 0.2497  7 Cl 3.22-3.59
Tl 0.5000 0.0000 0.5000  6 Cl 2.64
Tl 0.5000 0.5000 0.0000  6 Cl 2.64
Tl 0.7698 0.5714 0.7503  7 Cl 3.22-3.59
Tl 0.7698 0.9286 0.2503  7 Cl 3.22-3.59
Cl 0.1625 0.1872 0.4583  1 Tl 2.64, 1 Na 2.86
Cl 0.1625 0.3128 0.9583  1 Tl 2.64, 1 Na 2.86
Cl 0.2716 0.7114 0.4564  1 Tl 2.64, 1 Na 2.85
Cl 0.2716 0.7886 0.9564  1 Tl 2.64, 1 Na 2.85
Cl 0.3477 0.0196 0.2577  1 Tl 2.64, 1 Na 2.81
Cl 0.3477 0.4804 0.7577  1 Tl 2.64, 1 Na 2.81
Cl 0.6523 0.5196 0.2423  1 Tl 2.64, 1 Na 2.81
Cl 0.6523 0.9804 0.7423  1 Tl 2.64, 1 Na 2.81
Cl 0.7284 0.2114 0.0436  1 Tl 2.64, 1 Na 2.85
Cl 0.7284 0.2886 0.5436  1 Tl 2.64, 1 Na 2.85
Cl 0.8375 0.6872 0.0417  1 Tl 2.64, 1 Na 2.86
Cl 0.8375 0.8128 0.5417  1 Tl 2.64, 1 Na 2.86

# 5
First-principles (PBE) data for a relaxed structure of Na2Tl2Cl7, as listed in Alexandria via LeMat-Bulk.

Computed properties:
E_tot in eV/atom: -2.892
Polymorph energy (0 for the lowest one) in eV per formula unit: 0.049

Cell: 6.9174 14.5588 7.4175 Å, 90.00 95.52 90.00°
With the nearest neighbours (Å) after each atom.
Fractional coordinates of all 22 atoms:
Na 0.0979 0.1526 0.4015  6 Cl 2.84-2.99
Na 0.0979 0.3474 0.9015  6 Cl 2.84-2.99
Na 0.9021 0.6526 0.0985  6 Cl 2.84-2.99
Na 0.9021 0.8474 0.5985  6 Cl 2.84-2.99
Tl 0.3583 0.6346 0.6829  4 Cl 2.57-2.63
Tl 0.3583 0.8654 0.1829  4 Cl 2.57-2.63
Tl 0.6417 0.1346 0.8171  4 Cl 2.57-2.63
Tl 0.6417 0.3654 0.3171  4 Cl 2.57-2.63
Cl 0.1266 0.7118 0.4283  1 Tl 2.61, 2 Na 2.88-2.90
Cl 0.1266 0.7882 0.9283  1 Tl 2.61, 2 Na 2.88-2.90
Cl 0.1646 0.5397 0.8962  1 Tl 2.57, 1 Na 2.84
Cl 0.1646 0.9603 0.3962  1 Tl 2.57, 1 Na 2.84
Cl 0.3483 0.2299 0.6878  1 Tl 2.57, 1 Na 2.84
Cl 0.3483 0.2701 0.1878  1 Tl 2.57, 1 Na 2.84
Cl 0.5000 0.0000 0.0000  2 Tl 2.63
Cl 0.5000 0.5000 0.5000  2 Tl 2.63
Cl 0.6517 0.7299 0.8122  1 Tl 2.57, 1 Na 2.84
Cl 0.6517 0.7701 0.3122  1 Tl 2.57, 1 Na 2.84
Cl 0.8354 0.0397 0.6038  1 Tl 2.57, 1 Na 2.84
Cl 0.8354 0.4603 0.1038  1 Tl 2.57, 1 Na 2.84
Cl 0.8734 0.2118 0.0717  1 Tl 2.61, 2 Na 2.88-2.90
Cl 0.8734 0.2882 0.5717  1 Tl 2.61, 2 Na 2.88-2.90

# 6
First-principles (PBE) data for a relaxed structure of NaTlCl2, as listed in Alexandria via LeMat-Bulk.

Computed properties:
E_tot in eV/atom: -3.031
Polymorph energy (0 for the lowest one) in eV per formula unit: 0.816

Cell: 8.8923 8.8923 8.8923 Å, 31.45 31.45 31.45°
With the nearest neighbours (Å) after each atom.
Fractional coordinates of all 4 atoms:
Na 0.0000 0.0000 0.0000  2 Cl 2.50
Tl 0.5000 0.5000 0.5000  6 Cl 3.27
Cl 0.0986 0.0986 0.0986  1 Na 2.50
Cl 0.9014 0.9014 0.9014  1 Na 2.50

# 7
First-principles (PBE) data for a relaxed structure of Na5TlCl6, as listed in Alexandria via LeMat-Bulk.

Computed properties:
E_tot in eV/atom: -3.321

Cell: 7.1840 7.1840 7.1635 Å, 99.75 99.75 119.89°
With the nearest neighbours (Å) after each atom.
Fractional coordinates of all 12 atoms:
Na 0.0000 0.0000 0.0000  6 Cl 2.74-2.96
Na 0.1684 0.8316 0.5000  6 Cl 2.89-2.95
Na 0.3365 0.6635 0.0000  6 Cl 2.77-3.00
Na 0.6635 0.3365 0.0000  6 Cl 2.77-3.00
Na 0.8316 0.1684 0.5000  6 Cl 2.89-2.95
Tl 0.5000 0.5000 0.5000  6 Cl 3.11-3.13
Cl 0.0537 0.4113 0.2415  5 Na 2.77-3.00
Cl 0.2345 0.2345 0.7680  5 Na 2.74-2.95
Cl 0.4113 0.0537 0.2415  5 Na 2.77-3.00
Cl 0.5887 0.9463 0.7585  5 Na 2.77-3.00
Cl 0.7655 0.7655 0.2320  5 Na 2.74-2.95
Cl 0.9463 0.5887 0.7585  5 Na 2.77-3.00

# 8
First-principles (PBE) data for a relaxed structure of Na2Tl2Cl7, as listed in Alexandria via LeMat-Bulk.

Computed properties:
E_tot in eV/atom: -2.897
Polymorph energy (0 for the lowest one) in eV per formula unit: 0.000

Cell: 7.6934 7.6934 6.8883 Å, 96.26 96.26 107.80°
With the nearest neighbours (Å) after each atom.
Fractional coordinates of all 11 atoms:
Na 0.1897 0.8103 0.0000  6 Cl 2.87-2.96
Na 0.8103 0.1897 0.0000  6 Cl 2.87-2.96
Tl 0.2398 0.2398 0.6173  4 Cl 2.57-2.66
Tl 0.7602 0.7602 0.3827  4 Cl 2.57-2.66
Cl 0.0679 0.0679 0.2603  1 Tl 2.66, 2 Na 2.96
Cl 0.0774 0.4347 0.8084  1 Tl 2.57, 2 Na 2.87-2.88
Cl 0.4347 0.0774 0.8084  1 Tl 2.57, 2 Na 2.87-2.88
Cl 0.5000 0.5000 0.5000  2 Tl 2.63
Cl 0.5653 0.9226 0.1916  1 Tl 2.57, 2 Na 2.87-2.88
Cl 0.9226 0.5653 0.1916  1 Tl 2.57, 2 Na 2.87-2.88
Cl 0.9321 0.9321 0.7397  1 Tl 2.66, 2 Na 2.96